A plane-wave DFT calculation with SCAN was carried out for a crystal of Li2FeP2O7 relaxed with PBEsol.

## Properties
Formation energy without anion corrections = -2371 meV per atom
Energy above the most stable polymorph in this dataset = 0.00 eV per formula unit

Lattice parameters (Å, degrees): 5.0230 7.0369 8.2374 90.00 90.00 109.56
Last column: nearest neighbours and their distance in Å.
Sites, in units of the cell vectors:
O1 0.2307 0.5058 0.8431  1 P 1.52
O2 0.7693 0.4942 0.3431  1 P 1.52
O3 0.9235 0.1181 0.3217  1 P 1.53
O4 0.2051 0.4929 0.5352  1 P 1.52
O5 0.1366 0.8829 0.1995  1 P 1.54
P1 0.3933 0.5215 0.6845  4 O 1.52-1.62
O6 0.6103 0.7495 0.6683  2 P 1.61-1.62
Fe1 0.7956 0.2769 0.4968  6 O 2.02-2.20
O7 0.7949 0.5071 0.0352  1 P 1.52
O8 0.8634 0.1171 0.6995  1 P 1.54
Li1 0.8322 0.3510 0.8505  4 O 1.92-2.11
Li2 0.2881 0.0992 0.6705  3 O 1.91-1.99
P2 0.2041 0.0822 0.2933  4 O 1.52-1.61
P3 0.7959 0.9178 0.7933  4 O 1.52-1.61
O9 0.6256 0.9158 0.9466  1 P 1.52
O10 0.3897 0.2505 0.1683  2 P 1.61-1.62
Fe2 0.2044 0.7231 0.9968  6 O 2.02-2.20
Li3 0.7119 0.9008 0.1705  3 O 1.91-1.99
Li4 0.1678 0.6490 0.3505  4 O 1.92-2.11
P4 0.6067 0.4785 0.1845  4 O 1.52-1.62
O11 0.4342 0.6227 0.1873  1 P 1.54
O12 0.0765 0.8819 0.8217  1 P 1.53
O13 0.5658 0.3773 0.6873  1 P 1.54
O14 0.3744 0.0842 0.4466  1 P 1.52